An optimized crystal structure of CaTlNi, computed with PBE.

Computed properties:
Space-group type   F-43m, No. 216
Mass density   6.2 g/cm3
Calculated volume   81.40 Å³ per cell
Total energy   -8.756 eV for the cell shown
Formation enthalpy at 0 K   0.46 eV per atom

a = 4.8645 Å, b = 4.8645 Å, c = 4.8645 Å
α = 60.00°, β = 60.00°, γ = 60.00°
With the nearest neighbours (Å) after each atom.
Fractional positions:
Ni  0.0000  0.0000  0.0000  4 Ca 2.98
Tl  0.5000  0.5000  0.5000  4 Ca 2.98
Ca  0.7500  0.7500  0.7500  4 Tl 2.98, 4 Ni 2.98